# 1
CaErRh2: optimized geometry, PBEsol.

Geometry as extended XYZ:
```
4
Lattice="0.000 3.332 3.332 3.332 0.000 3.332 3.332 3.332 0.000" Properties=species:S:1:pos:R:3 pbc="T T T"
Ca 0.000 0.000 0.000
Er 3.332 3.332 3.332
Rh 1.666 1.666 1.666
Rh 4.998 4.998 4.998
```

Density of states at the Fermi level   1.46 states/eV/cell
Crystal system   cubic
Energy   -25.65 eV/f.u.
Space group   Fm-3m



# 2
CaEr2S4: optimized geometry, PBEsol.

Geometry as extended XYZ:
```
14
Lattice="1.913 -6.315 0.000 1.913 6.315 0.000 0.000 0.000 13.011" Properties=species:S:1:pos:R:3 pbc="T T T"
Ca 1.913 4.888 6.505
Ca 1.913 -4.888 0.000
Er 1.913 1.775 4.043
Er 1.913 1.615 8.709
Er 1.913 -1.615 2.204
Er 1.913 -1.775 10.548
S 1.913 6.187 9.514
S 1.913 2.956 1.594
S 1.913 2.798 11.174
S 1.913 0.528 6.336
S 1.913 -0.528 12.841
S 1.913 -2.798 4.669
S 1.913 -2.956 8.099
S 1.913 -6.187 3.009
```

Crystal system   orthorhombic
Energy   -44.45 eV/f.u.
Energy above the lowest structure with this stoichiometry   0.10 eV per formula unit
Space group   Cmc2_1



# 3
CaEr2S4: optimized geometry, PBEsol.

Geometry as extended XYZ:
```
28
Lattice="12.714 0.000 0.000 0.000 3.825 0.000 0.000 0.000 12.883" Properties=species:S:1:pos:R:3 pbc="T T T"
Ca 1.676 0.956 1.061
Ca 4.681 2.869 7.503
Ca 8.033 0.956 5.381
Ca 11.038 2.869 11.822
Er 1.350 2.869 5.347
Er 1.866 2.869 10.279
Er 4.490 0.956 3.837
Er 5.007 0.956 11.788
Er 7.707 2.869 1.095
Er 8.223 2.869 9.046
Er 10.847 0.956 2.604
Er 11.364 0.956 7.536
S 0.372 0.956 11.365
S 0.460 2.869 7.950
S 2.767 2.869 3.042
S 3.069 0.956 6.109
S 3.288 2.869 12.551
S 3.589 0.956 9.484
S 5.897 0.956 1.509
S 5.985 2.869 4.923
S 6.729 0.956 7.960
S 6.816 2.869 11.374
S 9.124 2.869 3.399
S 9.426 0.956 0.333
S 9.645 2.869 6.774
S 9.946 0.956 9.841
S 12.254 0.956 4.933
S 12.342 2.869 1.518
```

Crystal system   orthorhombic
Energy   -44.55 eV/f.u.
Energy above the lowest structure with this stoichiometry   0.00 eV per formula unit
Space group   Pnma



# 4
Ca3Eu: optimized geometry, PBEsol.

Geometry as extended XYZ:
```
8
Lattice="7.681 0.000 0.000 -3.840 6.652 0.000 0.000 0.000 6.318" Properties=species:S:1:pos:R:3 pbc="T T T"
Ca 0.000 2.226 1.579
Ca -1.913 5.539 1.579
Ca 1.928 1.113 4.738
Ca 1.913 5.539 1.579
Ca 5.753 1.113 4.738
Ca 3.840 4.426 4.738
Eu 0.000 4.434 4.738
Eu 3.840 2.217 1.579
```

Density of states at the Fermi level   26.05 states/eV/cell
Crystal system   hexagonal
Energy   -16.86 eV/f.u.
Space group   P6_3/mmc



# 5
Ca3Eu: optimized geometry, PBEsol.

Geometry as extended XYZ:
```
4
Lattice="5.457 0.000 0.000 0.000 5.457 0.000 0.000 0.000 5.457" Properties=species:S:1:pos:R:3 pbc="T T T"
Ca 0.000 0.000 2.728
Ca 0.000 2.728 0.000
Ca 2.728 0.000 0.000
Eu 2.728 2.728 2.728
```

Density of states at the Fermi level   11.72 states/eV/cell
Crystal system   cubic
Energy   -16.86 eV/f.u.
Space group   Pm-3m



# 6
CaEuGa2: optimized geometry, PBEsol.

Geometry as extended XYZ:
```
4
Lattice="0.000 3.634 3.634 3.634 0.000 3.634 3.634 3.634 0.000" Properties=species:S:1:pos:R:3 pbc="T T T"
Ca 0.000 0.000 0.000
Eu 3.634 3.634 3.634
Ga 1.817 1.817 1.817
Ga 5.451 5.451 5.451
```

Density of states at the Fermi level   4.59 states/eV/cell
Crystal system   cubic
Energy   -21.36 eV/f.u.
Space group   Fm-3m



# 7
CaEuIn2: optimized geometry, PBEsol.

Geometry as extended XYZ:
```
4
Lattice="0.000 3.820 3.820 3.820 0.000 3.820 3.820 3.820 0.000" Properties=species:S:1:pos:R:3 pbc="T T T"
Ca 0.000 0.000 0.000
Eu 3.820 3.820 3.820
In 1.910 1.910 1.910
In 5.729 5.729 5.729
```

Density of states at the Fermi level   8.42 states/eV/cell
Crystal system   cubic
Energy   -20.77 eV/f.u.
Space group   Fm-3m



# 8
CaEuMg2: optimized geometry, PBEsol.

Geometry as extended XYZ:
```
4
Lattice="0.000 3.931 3.931 3.931 0.000 3.931 3.931 3.931 0.000" Properties=species:S:1:pos:R:3 pbc="T T T"
Ca 0.000 0.000 0.000
Eu 3.931 3.931 3.931
Mg 1.966 1.966 1.966
Mg 5.897 5.897 5.897
```

Density of states at the Fermi level   11.53 states/eV/cell
Crystal system   cubic
Energy   -16.53 eV/f.u.
Space group   Fm-3m



# 9
Ca2EuZn9Ni6: optimized geometry, PBEsol.

Geometry as extended XYZ:
```
18
Lattice="8.868 0.000 0.000 -4.434 7.680 0.000 0.000 0.000 4.023" Properties=species:S:1:pos:R:3 pbc="T T T"
Ca 0.000 5.120 0.000
Ca 4.434 2.560 0.000
Eu 0.000 0.000 2.012
Zn -1.305 2.261 0.000
Zn -2.217 3.840 2.012
Zn -3.129 5.419 0.000
Zn 2.611 0.000 0.000
Zn 1.305 2.261 0.000
Zn 4.434 0.000 2.012
Zn 2.217 3.840 2.012
Zn 6.258 0.000 0.000
Zn 3.129 5.419 0.000
Ni 0.000 2.801 2.012
Ni -2.009 6.280 2.012
Ni 2.426 1.400 2.012
Ni 2.009 6.280 2.012
Ni 6.443 1.400 2.012
Ni 4.434 4.879 2.012
```

Density of states at the Fermi level   15.06 states/eV/cell
Crystal system   hexagonal
Energy   -71.69 eV/f.u.
Space group   P6/mmm



# 10
CaEuO2: optimized geometry, PBEsol.

Geometry as extended XYZ:
```
4
Lattice="1.724 0.995 5.673 -1.724 0.995 5.673 0.000 -1.991 5.673" Properties=species:S:1:pos:R:3 pbc="T T T"
Ca 0.000 0.000 0.000
Eu 0.000 0.000 8.510
O 0.000 0.000 4.309
O 0.000 0.000 12.711
```

Density of states at the Fermi level   5.18 states/eV/cell
Crystal system   trigonal
Energy   -34.87 eV/f.u.
Space group   R-3m



# 11
CaF2: optimized geometry, PBEsol.

Geometry as extended XYZ:
```
12
Lattice="5.906 0.000 0.000 0.000 3.561 0.000 0.000 0.000 6.948" Properties=species:S:1:pos:R:3 pbc="T T T"
Ca 1.478 0.890 0.760
Ca 1.475 2.671 4.234
Ca 4.431 0.890 2.714
Ca 4.428 2.671 6.188
F 0.111 0.890 5.811
F 0.841 0.890 2.952
F 2.112 2.671 6.426
F 2.842 2.671 2.338
F 3.064 0.890 4.610
F 3.794 0.890 0.522
F 5.066 2.671 3.995
F 5.796 2.671 1.136
```

Density of states at the Fermi level   0.00 states/eV/cell
Crystal system   orthorhombic
Energy   -17.77 eV/f.u.
Energy above the lowest structure with this stoichiometry   0.13 eV per formula unit
Space group   Pnma



# 12
CaF3: optimized geometry, PBEsol.

Geometry as extended XYZ:
```
8
Lattice="3.929 0.000 0.000 -1.964 3.403 0.000 0.000 0.000 7.325" Properties=species:S:1:pos:R:3 pbc="T T T"
Ca 0.000 2.268 1.831
Ca 1.964 1.134 5.494
F 0.000 0.000 1.831
F 0.000 0.000 5.494
F 0.000 2.268 4.156
F 0.000 2.268 6.832
F 1.964 1.134 0.493
F 1.964 1.134 3.169
```

Density of states at the Fermi level   8.96 states/eV/cell
Crystal system   hexagonal
Energy   -19.11 eV/f.u.
Space group   P6_3/mmc



# 13
CaF2: optimized geometry, PBEsol.

Geometry as extended XYZ:
```
3
Lattice="0.000 2.710 2.710 2.710 0.000 2.710 2.710 2.710 0.000" Properties=species:S:1:pos:R:3 pbc="T T T"
Ca 0.000 0.000 0.000
F 1.355 1.355 1.355
F 4.065 4.065 4.065
```

Density of states at the Fermi level   0.00 states/eV/cell
Crystal system   cubic
Energy   -17.90 eV/f.u.
Energy above the lowest structure with this stoichiometry   0.00 eV per formula unit
Space group   Fm-3m



# 14
CaF3: optimized geometry, PBEsol.

Geometry as extended XYZ:
```
8
Lattice="4.836 0.000 0.000 -2.418 4.188 0.000 0.000 0.000 4.413" Properties=species:S:1:pos:R:3 pbc="T T T"
Ca 0.000 2.792 1.103
Ca 2.418 1.396 3.310
F 0.000 1.469 3.310
F -1.146 3.454 3.310
F 1.272 0.734 1.103
F 1.146 3.454 3.310
F 3.564 0.734 1.103
F 2.418 2.720 1.103
```

Density of states at the Fermi level   3.05 states/eV/cell
Crystal system   hexagonal
Energy   -18.84 eV/f.u.
Space group   P6_3/mmc



# 15
CaFeNF2: optimized geometry, PBEsol.

Geometry as extended XYZ:
```
5
Lattice="4.073 0.000 0.000 0.000 4.073 0.000 0.000 0.000 4.808" Properties=species:S:1:pos:R:3 pbc="T T T"
Ca 0.000 0.000 0.000
Fe 2.037 2.037 2.404
N 0.000 0.000 2.404
F 0.000 2.037 0.000
F 2.037 0.000 0.000
```

Density of states at the Fermi level   4.23 states/eV/cell
Crystal system   tetragonal
Energy   -26.68 eV/f.u.
Space group   P4/mmm



# 16
CaFeO2F: optimized geometry, PBEsol.

Geometry as extended XYZ:
```
5
Lattice="4.269 0.000 0.000 0.000 4.269 0.000 0.000 0.000 4.086" Properties=species:S:1:pos:R:3 pbc="T T T"
Ca 0.000 0.000 0.000
Fe 2.135 2.135 2.043
O 0.000 2.135 0.000
O 2.135 0.000 0.000
F 0.000 0.000 2.043
```

Density of states at the Fermi level   4.33 states/eV/cell
Crystal system   tetragonal
Energy   -27.39 eV/f.u.
Space group   P4/mmm



# 17
CaFePt2F: optimized geometry, PBEsol.

Geometry as extended XYZ:
```
5
Lattice="4.775 0.000 0.000 0.000 4.775 0.000 0.000 0.000 3.835" Properties=species:S:1:pos:R:3 pbc="T T T"
Ca 0.000 0.000 0.000
Fe 2.387 2.387 1.917
Pt 0.000 2.387 1.917
Pt 2.387 0.000 1.917
F 2.387 2.387 0.000
```

Density of states at the Fermi level   2.44 states/eV/cell
Crystal system   tetragonal
Energy   -29.25 eV/f.u.
Space group   P4/mmm



# 18
LiCaGaF6: optimized geometry, PBEsol.

Geometry as extended XYZ:
```
18
Lattice="5.084 0.000 0.000 -2.542 4.403 0.000 0.000 0.000 9.721" Properties=species:S:1:pos:R:3 pbc="T T T"
Li 0.000 2.935 2.430
Li 2.542 1.468 7.291
Ca 0.000 0.000 0.000
Ca 0.000 0.000 4.860
Ga 0.000 2.935 7.291
Ga 2.542 1.468 2.430
F -0.847 1.608 8.361
F -1.573 2.866 6.221
F 0.847 1.608 6.221
F -0.726 4.332 8.361
F 1.816 0.071 3.500
F 0.969 1.537 1.360
F 1.573 2.866 8.361
F 0.726 4.332 6.221
F 3.268 0.071 1.360
F 1.695 2.795 3.500
F 4.115 1.537 3.500
F 3.389 2.795 1.360
```

Density of states at the Fermi level   0.00 states/eV/cell
Crystal system   trigonal
Energy   -47.77 eV/f.u.
Space group   P-31c



# 19
CaTaGaF2: optimized geometry, PBEsol.

Geometry as extended XYZ:
```
5
Lattice="4.317 0.000 0.000 0.000 4.317 0.000 0.000 0.000 5.314" Properties=species:S:1:pos:R:3 pbc="T T T"
Ca 0.000 0.000 0.000
Ta 2.159 2.159 0.000
Ga 2.159 2.159 2.657
F 0.000 2.159 2.657
F 2.159 0.000 2.657
```

Density of states at the Fermi level   4.50 states/eV/cell
Crystal system   tetragonal
Energy   -23.32 eV/f.u.
Space group   P4/mmm



# 20
Ca10Ge6F: optimized geometry, PBEsol.

Geometry as extended XYZ:
```
17
Lattice="-3.824 3.824 7.223 3.824 -3.824 7.223 3.824 3.824 -7.223" Properties=species:S:1:pos:R:3 pbc="T T T"
Ca 2.466 -2.466 5.651
Ca 2.548 2.548 -1.468
Ca 3.824 0.000 3.612
Ca 1.358 1.358 1.572
Ca 1.275 -1.275 8.692
Ca 1.275 1.275 5.755
Ca -2.466 2.466 5.651
Ca 0.000 3.824 3.612
Ca -1.275 1.275 8.692
Ca 2.466 2.466 8.796
Ge 3.824 0.000 0.000
Ge 0.903 -0.903 3.565
Ge -0.903 0.903 3.565
Ge 0.000 3.824 0.000
Ge 2.921 2.921 3.658
Ge 0.903 0.903 10.881
F 0.000 0.000 7.223
```

Density of states at the Fermi level   14.42 states/eV/cell
Crystal system   tetragonal
Energy   -69.14 eV/f.u.
Space group   I-42m



# 21
CaGeN2F: optimized geometry, PBEsol.

Geometry as extended XYZ:
```
5
Lattice="4.513 0.000 0.000 0.000 4.513 0.000 0.000 0.000 4.095" Properties=species:S:1:pos:R:3 pbc="T T T"
Ca 0.000 0.000 0.000
Ge 2.256 2.256 2.048
N 0.000 2.256 0.000
N 2.256 0.000 0.000
F 0.000 0.000 2.048
```

Density of states at the Fermi level   2.52 states/eV/cell
Crystal system   tetragonal
Energy   -23.71 eV/f.u.
Space group   P4/mmm



# 22
CaGeOsF2: optimized geometry, PBEsol.

Geometry as extended XYZ:
```
5
Lattice="3.961 0.000 0.000 0.000 3.961 0.000 0.000 0.000 6.529" Properties=species:S:1:pos:R:3 pbc="T T T"
Ca 0.000 0.000 0.000
Ge 1.981 1.981 3.265
Os 0.000 0.000 3.265
F 0.000 1.981 0.000
F 1.981 0.000 0.000
```

Density of states at the Fermi level   4.34 states/eV/cell
Crystal system   tetragonal
Energy   -27.31 eV/f.u.
Space group   P4/mmm



# 23
CaHF3: optimized geometry, PBEsol.

Geometry as extended XYZ:
```
5
Lattice="4.413 0.000 0.000 0.000 4.413 0.000 0.000 0.000 4.413" Properties=species:S:1:pos:R:3 pbc="T T T"
Ca 0.000 0.000 0.000
H 2.206 2.206 2.206
F 0.000 0.000 2.206
F 0.000 2.206 0.000
F 2.206 0.000 0.000
```

Density of states at the Fermi level   6.68 states/eV/cell
Crystal system   cubic
Energy   -20.07 eV/f.u.
Space group   Pm-3m



# 24
CaHF2: optimized geometry, PBEsol.

Geometry as extended XYZ:
```
4
Lattice="0.000 2.758 2.758 2.758 0.000 2.758 2.758 2.758 0.000" Properties=species:S:1:pos:R:3 pbc="T T T"
Ca 0.000 0.000 0.000
H 2.758 2.758 2.758
F 1.379 1.379 1.379
F 4.136 4.136 4.136
```

Crystal system   cubic
Energy   -18.67 eV/f.u.
Energy above the lowest structure with this stoichiometry   0.00 eV per formula unit
Space group   Fm-3m



no.,total magnetization (μB/cell)
1,0.00
2,0.00
3,0.00
4,15.49
5,7.62
6,6.95
7,7.01
8,7.39
9,6.93
10,6.98
11,0.00
12,2.00
13,0.00
14,2.00
15,5.01
16,5.00
17,3.38
18,0.00
19,1.37
20,0.00
21,3.00
22,1.84
23,0.01
24,1.00